No. 1
Ac12NdNi7: optimized geometry, PBE-GGA.

The space group is R-3 (No. 148, hexagonal axes) and the conventional cell measures 15.1835, 15.1835 and 10.3358 Å, with angles of 90.00, 90.00 and 120.00 degrees. The asymmetric unit holds Ac at (0.0265, 0.4385, 0.1605), Ac at (0.0495, 0.8761, 0.8283), Nd at (0.0000, 0.0000, 0.5000), Ni at (0.0000, 0.0000, 0.0000) and Ni at (0.0497, 0.8688, 0.3358).

Its raw total energy is -4.873 eV per atom.

No. 2
AcNdNi: optimized geometry, PBE-GGA.

The space group is Immm (No. 71) and the conventional cell measures 3.9015, 7.3121 and 12.5647 Å, with angles of 90.00, 90.00 and 90.00 degrees. The asymmetric unit holds Ac at (0.0000, 0.0000, 0.2231), Nd at (0.0000, 0.2378, 0.5000) and Ni at (0.0000, 0.5000, 0.1026).

The energy above the lowest structure with this stoichiometry is 0.00 eV per formula unit.

No. 3
AcNd2Ni9: optimized geometry, PBE-GGA.

The space group is R-3m (No. 166, hexagonal axes) and the conventional cell measures 5.1054, 5.1054 and 24.8151 Å, with angles of 90.00, 90.00 and 120.00 degrees. The asymmetric unit holds Ac at (0.0000, 0.0000, 0.0000), Nd at (0.0000, 0.0000, 0.1399), Ni at (0.0000, 0.0000, 0.3322), Ni at (0.0000, 0.0000, 0.5000) and Ni at (0.0013, 0.5006, 0.0823).

Its raw total energy is -5.752 eV per atom.